No. 1
The following is a DFT calculation (PBE with a Hubbard U) of crystalline Ac2CrNiO6 at its relaxed geometry.

Unit cell a=4.015 b=5.583 c=5.583 alpha=90.00 beta=90.00 gamma=90.00
Each line ends with the local moment (μB).
Sites, in units of the cell vectors:
O1 0.145 0.000 0.000  0.00
Cr1 0.645 0.000 0.000  2.16
O2 0.645 0.240 0.240  0.00
O3 0.645 0.760 0.240  0.00
O4 0.645 0.760 0.760  0.00
O5 0.645 0.240 0.760  0.00
Ac1 0.145 0.000 0.500  0.00
Ac2 0.145 0.500 0.000  0.00
Ni1 0.645 0.500 0.500  1.75
O6 0.145 0.500 0.500  0.05

## Properties
Calculated total energy   -7.247 eV/atom
Total magnetization   0.40 μB/atom



No. 2
The following is a DFT calculation (PBE with a Hubbard U) of crystalline AcCr2NiO8 at its relaxed geometry.

Unit cell a=6.151 b=6.151 c=6.151 alpha=106.09 beta=106.09 gamma=116.48
Each line ends with the local moment (μB).
Sites, in units of the cell vectors:
O1 0.836 0.654 0.182  0.01
O2 0.923 0.248 0.325  0.05
O3 0.346 0.164 0.818  0.01
O4 0.346 0.528 0.182  0.01
O5 0.401 0.077 0.325  0.05
O6 0.923 0.599 0.675  0.05
Ni1 0.250 0.750 0.500  1.81
O7 0.472 0.654 0.818  0.01
Cr1 0.750 0.250 0.500  -1.06
Cr2 0.500 0.500 0.000  -0.06
Ac1 0.000 0.000 0.000  0.00
O8 0.752 0.077 0.675  0.05

## Properties
Calculated total energy   -6.681 eV/atom
Total magnetization   0.08 μB/atom



No. 3
The following is a DFT calculation (PBE with a Hubbard U) of crystalline AcNp2CrO8 at its relaxed geometry.

Unit cell a=5.034 b=5.038 c=7.041 alpha=90.00 beta=90.00 gamma=87.11
Each line ends with the local moment (μB).
Sites, in units of the cell vectors:
Cr1 0.000 0.000 0.000  3.06
O1 0.302 0.301 0.000  -0.12
Np1 0.500 0.500 0.235  2.25
Np2 0.500 0.500 0.765  2.25
O2 0.798 0.204 0.789  -0.08
Ac1 0.000 0.000 0.500  -0.01
O3 0.333 0.330 0.500  -0.06
O4 0.667 0.670 0.500  -0.06
O5 0.202 0.796 0.789  -0.08
O6 0.698 0.699 0.000  -0.12
O7 0.798 0.204 0.211  -0.08
O8 0.202 0.796 0.211  -0.08

## Properties
Calculated total energy   -9.198 eV/atom
Total magnetization   0.58 μB/atom



No. 4
The following is a DFT calculation (PBE with a Hubbard U) of crystalline Ac2NpCrO8 at its relaxed geometry.

Unit cell a=4.490 b=5.501 c=7.815 alpha=98.28 beta=86.34 gamma=98.69
Each line ends with the local moment (μB).
Sites, in units of the cell vectors:
O1 0.093 0.720 0.835  0.00
O2 0.678 0.748 0.532  -0.05
Cr1 0.000 0.000 0.500  2.98
O3 0.397 0.212 0.992  -0.01
Ac1 0.459 0.550 0.261  0.00
O4 0.961 0.161 0.750  -0.04
O5 0.322 0.252 0.468  -0.05
Ac2 0.541 0.450 0.739  0.00
O6 0.603 0.788 0.008  -0.01
O7 0.907 0.280 0.165  0.00
Np1 0.000 0.000 0.000  0.13
O8 0.039 0.839 0.250  -0.04

## Properties
Calculated total energy   -8.391 eV/atom
Total magnetization   0.26 μB/atom



No. 5
The following is a DFT calculation (PBE with a Hubbard U) of crystalline Ac2CrO6 at its relaxed geometry.

Unit cell a=5.547 b=7.737 c=6.431 alpha=90.00 beta=90.00 gamma=94.10
Sites, in units of the cell vectors:
O1 0.395 0.772 0.538
Ac1 0.532 0.754 0.906
O2 0.636 0.943 0.244
O3 0.285 0.458 0.859
Ac2 0.968 0.746 0.406
O4 0.105 0.728 0.038
O5 0.864 0.557 0.744
Ac3 0.032 0.254 0.594
O6 0.605 0.228 0.462
O7 0.136 0.443 0.256
Cr1 0.000 0.500 0.000
Ac4 0.468 0.246 0.094
O8 0.364 0.057 0.756
O9 0.785 0.958 0.641
Cr2 0.500 0.000 0.500
O10 0.895 0.272 0.962
O11 0.215 0.042 0.359
O12 0.715 0.542 0.141

## Properties
Calculated total energy   -7.435 eV/atom
Total magnetization   0.00 μB/atom



No. 6
The following is a DFT calculation (PBE with a Hubbard U) of crystalline Ac3Cr5O12 at its relaxed geometry.

Unit cell a=11.385 b=11.385 c=11.385 alpha=109.47 beta=109.47 gamma=109.47
Each line ends with the local moment (μB).
Sites, in units of the cell vectors:
O1 0.017 0.621 0.694  -0.03
O2 0.379 0.397 0.073  -0.03
O3 0.121 0.427 0.103  -0.03
Cr1 0.000 0.500 0.500  3.01
O4 0.806 0.323 0.927  -0.03
O5 0.823 0.927 0.306  -0.03
Cr2 0.875 0.625 0.750  2.93
O6 0.879 0.573 0.897  -0.03
O7 0.677 0.194 0.573  -0.03
Cr3 0.250 0.375 0.625  2.93
Ac1 0.375 0.750 0.625  0.02
Cr4 0.000 0.000 0.000  3.01
O8 0.603 0.621 0.427  -0.03
Cr5 0.125 0.375 0.250  2.93
O9 0.621 0.603 0.927  -0.03
Ac2 0.875 0.750 0.125  0.02
Cr6 0.500 0.000 0.000  3.01
Cr7 0.500 0.500 0.500  3.01
O10 0.897 0.823 0.517  -0.03
O11 0.306 0.427 0.823  -0.03
Ac3 0.250 0.625 0.875  0.02
O12 0.603 0.983 0.677  -0.03
O13 0.194 0.517 0.621  -0.03
O14 0.983 0.379 0.306  -0.03
O15 0.927 0.103 0.621  -0.03
O16 0.483 0.677 0.103  -0.03
Cr8 0.750 0.625 0.375  2.93
O17 0.927 0.823 0.806  -0.03
O18 0.194 0.677 0.073  -0.03
O19 0.323 0.517 0.397  -0.03
Ac4 0.625 0.375 0.750  0.02
Ac5 0.625 0.250 0.375  0.02
O20 0.897 0.073 0.879  -0.03
O21 0.573 0.694 0.677  -0.03
O22 0.121 0.694 0.517  -0.03
Cr9 0.875 0.250 0.625  2.93
Cr10 0.250 0.875 0.125  2.93
Ac6 0.750 0.375 0.125  0.02
O23 0.621 0.017 0.194  -0.03
O24 0.103 0.177 0.483  -0.03
Ac7 0.250 0.125 0.375  0.02
O25 0.694 0.121 0.017  -0.03
O26 0.483 0.806 0.879  -0.03
O27 0.177 0.103 0.983  -0.03
Ac8 0.125 0.875 0.750  0.02
O28 0.379 0.983 0.806  -0.03
O29 0.806 0.483 0.379  -0.03
O30 0.397 0.379 0.573  -0.03
O31 0.427 0.306 0.323  -0.03
O32 0.017 0.397 0.823  -0.03
Ac9 0.375 0.625 0.250  0.02
O33 0.694 0.573 0.177  -0.03
O34 0.573 0.879 0.397  -0.03
O35 0.073 0.177 0.194  -0.03
O36 0.306 0.879 0.983  -0.03
O37 0.879 0.306 0.483  -0.03
Ac10 0.875 0.125 0.250  0.02
O38 0.427 0.121 0.603  -0.03
Cr11 0.000 0.000 0.500  3.01
O39 0.517 0.323 0.897  -0.03
Ac11 0.750 0.875 0.625  0.02
Cr12 0.500 0.000 0.500  3.01
O40 0.983 0.603 0.177  -0.03
Cr13 0.000 0.500 0.000  3.01
O41 0.397 0.017 0.323  -0.03
Ac12 0.125 0.250 0.875  0.02
O42 0.677 0.483 0.603  -0.03
Cr14 0.750 0.125 0.875  2.93
O43 0.073 0.897 0.379  -0.03
Cr15 0.625 0.875 0.250  2.93
O44 0.823 0.897 0.017  -0.03
Cr16 0.625 0.750 0.875  2.93
Cr17 0.500 0.500 0.000  3.01
O45 0.103 0.927 0.121  -0.03
Cr18 0.125 0.750 0.375  2.93
O46 0.177 0.073 0.694  -0.03
Cr19 0.375 0.250 0.125  2.93
O47 0.323 0.806 0.427  -0.03
O48 0.517 0.194 0.121  -0.03
Cr20 0.375 0.125 0.750  2.93

## Properties
Calculated total energy   -7.811 eV/atom
Total magnetization   0.75 μB/atom



No. 7
The following is a DFT calculation (PBE with a Hubbard U) of crystalline AcCr3O9 at its relaxed geometry.

Unit cell a=7.723 b=7.723 c=7.890 alpha=90.00 beta=90.00 gamma=106.11
Each line ends with the local moment (μB).
Sites, in units of the cell vectors:
Cr1 0.192 0.838 0.461  1.16
Ac1 0.618 0.618 0.000  0.00
O1 0.297 0.678 0.470  -0.07
Cr2 0.250 0.250 0.000  1.27
Cr3 0.808 0.162 0.961  1.16
O2 0.664 0.619 0.330  -0.05
O3 0.971 0.746 0.550  -0.08
O4 0.960 0.704 0.961  -0.08
O5 0.029 0.254 0.050  -0.08
O6 0.040 0.296 0.461  -0.08
O7 0.619 0.664 0.670  -0.05
O8 0.336 0.381 0.830  -0.05
Cr4 0.750 0.750 0.500  1.27
O9 0.678 0.297 0.530  -0.07
O10 0.254 0.029 0.950  -0.08
O11 0.703 0.322 0.970  -0.07
O12 0.704 0.960 0.039  -0.08
O13 0.746 0.971 0.450  -0.08
O14 0.127 0.873 0.250  -0.02
O15 0.296 0.040 0.539  -0.08
Cr5 0.162 0.808 0.039  1.16
Cr6 0.838 0.192 0.539  1.16
O16 0.322 0.703 0.030  -0.07
O17 0.381 0.336 0.170  -0.05
Ac2 0.382 0.382 0.500  0.00
O18 0.873 0.127 0.750  -0.02

## Properties
Calculated total energy   -7.205 eV/atom
Total magnetization   0.23 μB/atom



No. 8
The following is a DFT calculation (PBE with a Hubbard U) of crystalline Ac3Cr2O9 at its relaxed geometry.

Unit cell a=7.149 b=7.149 c=7.149 alpha=84.82 beta=84.82 gamma=84.82
Each line ends with the local moment (μB).
Sites, in units of the cell vectors:
O1 0.241 0.580 0.414  -0.08
Ac1 0.585 0.250 0.915  0.00
Ac2 0.750 0.085 0.415  0.00
Cr1 0.149 0.149 0.149  1.84
Ac3 0.085 0.415 0.750  0.00
Ac4 0.415 0.750 0.085  0.00
O2 0.086 0.920 0.259  -0.08
O3 0.907 0.750 0.593  -0.06
O4 0.741 0.914 0.080  -0.08
O5 0.093 0.250 0.407  -0.06
O6 0.414 0.241 0.580  -0.08
O7 0.920 0.259 0.086  -0.08
O8 0.407 0.093 0.250  -0.06
O9 0.914 0.080 0.741  -0.08
O10 0.080 0.741 0.914  -0.08
Cr2 0.351 0.351 0.351  1.84
O11 0.259 0.086 0.920  -0.08
O12 0.759 0.420 0.586  -0.08
O13 0.250 0.407 0.093  -0.06
O14 0.593 0.907 0.750  -0.06
Ac5 0.250 0.915 0.585  0.00
Ac6 0.915 0.585 0.250  0.00
O15 0.586 0.759 0.420  -0.08
O16 0.420 0.586 0.759  -0.08
O17 0.750 0.593 0.907  -0.06
O18 0.580 0.414 0.241  -0.08
Cr3 0.851 0.851 0.851  1.84
Cr4 0.649 0.649 0.649  1.84

## Properties
Calculated total energy   -7.646 eV/atom
Total magnetization   0.21 μB/atom